1) Entry from Alexandria via LeMat-Bulk: a relaxed structure of BaLi2AgHg (PBE-GGA).

Unit cell a=5.140 b=5.140 c=5.468 alpha=90.00 beta=90.00 gamma=90.00
Space group P4/mmm (No. 123)
Asymmetric unit:
Ba: 0.000 0.000 0.000 [1 per cell]
Li: 0.000 0.500 0.500 [2 per cell]
Ag: 0.500 0.500 0.000 [1 per cell]
Hg: 0.500 0.500 0.500 [1 per cell]

Computed properties:
The calculation puts the volume at 28.90 Å³ per atom. The value obtained for the magnetic moment is 0.00 μB per cell. As for the density of states at the Fermi level: 2.73 states/eV per cell.

---

2) Entry from Alexandria via LeMat-Bulk: a relaxed structure of BaLi2AgHg (PBE-GGA).

Unit cell a=5.134 b=5.134 c=5.456 alpha=90.00 beta=90.00 gamma=90.00
Space group P4/mmm (No. 123)
Asymmetric unit:
Ba: 0.000 0.000 0.000 [1 per cell]
Li: 0.000 0.500 0.500 [2 per cell]
Ag: 0.500 0.500 0.500 [1 per cell]
Hg: 0.500 0.500 0.000 [1 per cell]

Computed properties:
The calculation puts the volume at 28.77 Å³ per atom. The value obtained for the magnetic moment is 0.00 μB per cell. As for the density of states at the Fermi level: 3.34 states/eV per cell.

---

So which one is most stable? That would be 2), about 15 meV per atom below the next structure.

---

1) Entry from Alexandria via LeMat-Bulk: a relaxed structure of BaLiAgHg2 (PBE-GGA).

Unit cell a=5.192 b=5.192 c=5.084 alpha=90.00 beta=90.00 gamma=90.00
Space group P4/mmm (No. 123)
Asymmetric unit:
Ba: 0.000 0.000 0.000 [1 per cell]
Li: 0.500 0.500 0.500 [1 per cell]
Ag: 0.500 0.500 0.000 [1 per cell]
Hg: 0.000 0.500 0.500 [2 per cell]

Computed properties:
The calculation puts the volume at 27.42 Å³ per atom. The value obtained for the magnetic moment is 0.00 μB per cell. As for the density of states at the Fermi level: 2.81 states/eV per cell.

---

2) Entry from Alexandria via LeMat-Bulk: a relaxed structure of BaLiAgHg2 (PBE-GGA).

Unit cell a=5.461 b=5.461 c=4.986 alpha=90.00 beta=90.00 gamma=90.00
Space group P4/mmm (No. 123)
Asymmetric unit:
Ba: 0.000 0.000 0.000 [1 per cell]
Li: 0.500 0.500 0.000 [1 per cell]
Ag: 0.500 0.500 0.500 [1 per cell]
Hg: 0.000 0.500 0.500 [2 per cell]

Computed properties:
The calculation puts the volume at 29.74 Å³ per atom. The value obtained for the magnetic moment is 0.00 μB per cell. As for the density of states at the Fermi level: 3.29 states/eV per cell.

---

3) Entry from Alexandria via LeMat-Bulk: a relaxed structure of BaLiAgHg2 (PBE-GGA).

Unit cell a=4.419 b=4.419 c=14.017 alpha=90.00 beta=90.00 gamma=90.00
Space group I-4m2 (No. 119)
Asymmetric unit:
Ba: 0.000 0.000 0.000 [2 per cell]
Li: 0.000 0.500 0.250 [2 per cell]
Ag: 0.000 0.500 0.750 [2 per cell]
Hg: 0.000 0.000 0.381 [4 per cell]

Computed properties:
The calculation puts the volume at 27.37 Å³ per atom. The value obtained for the magnetic moment is 0.00 μB per cell. As for the density of states at the Fermi level: 4.24 states/eV per cell.

---

So which one is most stable? That would be 3), about 62 meV per atom below the next structure.

---

1) Entry from Alexandria via LeMat-Bulk: a relaxed structure of BaAgHg2Pd (PBE-GGA).

Unit cell a=5.275 b=5.275 c=5.327 alpha=90.00 beta=90.00 gamma=90.00
Space group P4/mmm (No. 123)
Asymmetric unit:
Ba: 0.000 0.000 0.000 [1 per cell]
Ag: 0.500 0.500 0.000 [1 per cell]
Hg: 0.000 0.500 0.500 [2 per cell]
Pd: 0.500 0.500 0.500 [1 per cell]

Computed properties:
The calculation puts the volume at 29.65 Å³ per atom. The value obtained for the magnetic moment is 0.00 μB per cell. As for the density of states at the Fermi level: 1.84 states/eV per cell.

---

2) Entry from Alexandria via LeMat-Bulk: a relaxed structure of BaAgHg2Pd (PBE-GGA).

Unit cell a=4.466 b=4.670 c=12.644 alpha=90.00 beta=90.00 gamma=90.00
Space group Imm2 (No. 44)
Asymmetric unit:
Ba: 0.000 0.000 0.000 [2 per cell]
Ag: 0.000 0.500 0.726 [2 per cell]
Hg: 0.000 0.000 0.378 [2 per cell]
Hg: 0.000 0.500 0.229 [2 per cell]
Pd: 0.000 0.000 0.594 [2 per cell]

Computed properties:
The calculation puts the volume at 26.37 Å³ per atom. The value obtained for the magnetic moment is 0.00 μB per cell. As for the density of states at the Fermi level: 5.58 states/eV per cell.

---

So which one is most stable? That would be 2), about 74 meV per atom below the next structure.

---

1) Entry from Alexandria via LeMat-Bulk: a relaxed structure of Ba2AgHgPt (PBE-GGA).

Unit cell a=8.371 b=4.768 c=8.721 alpha=90.00 beta=111.26 gamma=90.00
Space group P2_1/m (No. 11)
Asymmetric unit:
Ba: 0.059 0.250 0.221 [2 per cell]
Ba: 0.349 0.750 0.644 [2 per cell]
Ag: 0.302 0.250 0.921 [2 per cell]
Hg: 0.345 0.750 0.130 [2 per cell]
Pt: 0.065 0.250 0.593 [2 per cell]

Computed properties:
The calculation puts the volume at 32.44 Å³ per atom. The value obtained for the magnetic moment is 0.00 μB per cell. As for the density of states at the Fermi level: 6.56 states/eV per cell.

---

2) Entry from Alexandria via LeMat-Bulk: a relaxed structure of Ba2AgHgPt (PBE-GGA).

Unit cell a=6.075 b=6.075 c=5.276 alpha=90.00 beta=90.00 gamma=90.00
Space group P4/mmm (No. 123)
Asymmetric unit:
Ba: 0.000 0.500 0.000 [2 per cell]
Ag: 0.000 0.000 0.500 [1 per cell]
Hg: 0.500 0.500 0.500 [1 per cell]
Pt: 0.500 0.500 0.000 [1 per cell]

Computed properties:
The calculation puts the volume at 38.94 Å³ per atom. The value obtained for the magnetic moment is 0.00 μB per cell. As for the density of states at the Fermi level: 3.78 states/eV per cell.

---

So which one is most stable? That would be 1), about 136 meV per atom below the next structure.

---

1) Entry from Alexandria via LeMat-Bulk: a relaxed structure of BaAgHg2Pt (PBE-GGA).

Unit cell a=5.287 b=5.287 c=5.336 alpha=90.00 beta=90.00 gamma=90.00
Space group P4/mmm (No. 123)
Asymmetric unit:
Ba: 0.000 0.000 0.000 [1 per cell]
Ag: 0.500 0.500 0.000 [1 per cell]
Hg: 0.000 0.500 0.500 [2 per cell]
Pt: 0.500 0.500 0.500 [1 per cell]

Computed properties:
The calculation puts the volume at 29.83 Å³ per atom. The value obtained for the magnetic moment is 0.00 μB per cell. As for the density of states at the Fermi level: 2.20 states/eV per cell.

---

2) Entry from Alexandria via LeMat-Bulk: a relaxed structure of BaAgHg2Pt (PBE-GGA).

Unit cell a=4.422 b=4.485 c=13.207 alpha=90.00 beta=90.00 gamma=90.00
Space group Imm2 (No. 44)
Asymmetric unit:
Ba: 0.000 0.000 0.000 [2 per cell]
Ag: 0.000 0.500 0.720 [2 per cell]
Hg: 0.000 0.000 0.372 [2 per cell]
Hg: 0.000 0.500 0.219 [2 per cell]
Pt: 0.000 0.000 0.581 [2 per cell]

Computed properties:
The calculation puts the volume at 26.19 Å³ per atom. The value obtained for the magnetic moment is 0.00 μB per cell. As for the density of states at the Fermi level: 4.79 states/eV per cell.

---

So which one is most stable? That would be 2), about 77 meV per atom below the next structure.

---

1) Entry from Alexandria via LeMat-Bulk: a relaxed structure of BaSrAgHg (PBE-GGA).

Unit cell a=8.146 b=8.146 c=8.146 alpha=90.00 beta=90.00 gamma=90.00
Space group F-43m (No. 216)
Asymmetric unit:
Ba: 0.000 0.000 0.000 [4 per cell]
Sr: 0.000 0.000 0.500 [4 per cell]
Ag: 0.250 0.250 0.250 [4 per cell]
Hg: 0.250 0.250 0.750 [4 per cell]

Computed properties:
The calculation puts the volume at 33.79 Å³ per atom. The value obtained for the magnetic moment is 0.00 μB per cell. As for the density of states at the Fermi level: 12.20 states/eV per cell.

---

2) Entry from Alexandria via LeMat-Bulk: a relaxed structure of BaSrAgHg (PBE-GGA).

Unit cell a=5.021 b=4.570 c=12.509 alpha=90.00 beta=90.00 gamma=90.00
Space group Amm2 (No. 38)
Asymmetric unit:
Ba: 0.000 0.000 0.000 [2 per cell]
Sr: 0.500 0.000 0.721 [2 per cell]
Ag: 0.500 0.000 0.428 [2 per cell]
Hg: 0.000 0.000 0.283 [2 per cell]

Computed properties:
The calculation puts the volume at 35.88 Å³ per atom. The value obtained for the magnetic moment is 0.00 μB per cell. As for the density of states at the Fermi level: 4.80 states/eV per cell.

---

So which one is most stable? That would be 2), about 11 meV per atom below the next structure.